# PBE+U PuMnO, optimized geometry
# Mass density in g/cm3: 9.85
# Final energy in eV per atom: -9.83
# Crystal system: hexagonal
data_PuMnO
_chemical_formula_sum 'Pu2 Mn2 O2'
_cell_length_a 3.2018
_cell_length_b 3.2018
_cell_length_c 11.9573
_cell_angle_alpha 90.00
_cell_angle_beta 90.00
_cell_angle_gamma 120.00
_symmetry_space_group_name_H-M 'P -6 m 2'
_symmetry_Int_Tables_number 187
_symmetry_space_group_name_Hall 'P -6 2'
loop_
_atom_site_label
_atom_site_fract_x
_atom_site_fract_y
_atom_site_fract_z
Pu1 0.0000 0.0000 0.2476
Mn1 0.3333 0.6667 0.5000
Mn2 0.6667 0.3333 0.0000
O1 0.6667 0.3333 0.3870